1.
This record from the Alexandria database describes an optimized crystal structure of Dy2AgSn3Se6. The functional is PBE-GGA.

Summary:
The calculation puts the uncorrected formation energy at -858 meV/atom. The calculated total energy is -4.606 eV per atom. The symmetry is No. 12. The volume comes out at 316.08 Å³ per cell. For the density of states at the Fermi level, the calculation gives 0.1883 states/eV per atom.

Unit cell a=4.070 b=8.476 c=9.388 alpha=91.62 beta=102.52 gamma=90.00
Element x y z (fractional)
Se: 0.708 0.141 0.415
Se: 0.292 0.859 0.585
Se: 0.662 0.601 0.323
Se: 0.968 0.759 0.936
Se: 0.338 0.399 0.677
Se: 0.032 0.241 0.064
Ag: 0.500 0.000 0.000
Dy: 0.176 0.368 0.353
Dy: 0.824 0.632 0.647
Sn: 0.500 0.500 0.000
Sn: 0.864 0.075 0.728
Sn: 0.136 0.925 0.272

---

2.
This record from the Alexandria database describes an optimized crystal structure of CoMo2I2. The functional is PBE-GGA.

Summary:
The calculation puts the uncorrected formation energy at 1421 meV/atom. The calculated total energy is -4.953 eV per atom. The symmetry is No. 127. The volume comes out at 192.38 Å³ per cell. As for the energy above the most stable polymorph in this dataset: 1.76 eV/f.u. For the density of states at the Fermi level, the calculation gives 1.6100 states/eV per atom.

Unit cell a=7.701 b=7.701 c=3.244 alpha=90.00 beta=90.00 gamma=90.00
Element x y z (fractional)
Co: 0.500 0.500 0.000
Co: 0.000 0.000 0.000
I: 0.347 0.847 0.000
I: 0.653 0.153 0.000
I: 0.847 0.653 0.000
I: 0.153 0.347 0.000
Mo: 0.350 0.150 0.500
Mo: 0.650 0.850 0.500
Mo: 0.850 0.350 0.500
Mo: 0.150 0.650 0.500

---

3.
This record from the Alexandria database describes an optimized crystal structure of Ca2Pt3. The functional is PBE-GGA.

Summary:
The calculation puts the formation energy from the elements at -586 meV per atom. The calculated total energy is -5.011 eV per atom. The symmetry is No. 43. The volume comes out at 218.25 Å³ per cell. For the density of states at the Fermi level, the calculation gives 0.3380 states/eV per atom.

Unit cell a=13.043 b=11.941 c=5.757 alpha=87.66 beta=66.17 gamma=26.17
Element x y z (fractional)
Ca: 0.581 0.287 0.762
Ca: 0.369 0.762 0.287
Ca: 0.488 0.881 0.669
Ca: 0.963 0.669 0.881
Pt: 0.341 0.517 0.444
Pt: 0.806 0.551 0.909
Pt: 0.260 0.240 0.240
Pt: 0.733 0.909 0.551
Pt: 0.699 0.444 0.517
Pt: 0.010 0.990 0.990